No. 1
5
Lattice="-0.5114 4.2274 0.4374 -3.6826 -0.7134 2.5889 2.4697 -0.0630 3.4958" Properties=species:S:1:pos:R:3 comment="CuSi2BiO (PBE, relaxed)" total_energy_ev_per_atom=-4.563 raw_formation_energy_ev_per_atom=0.193 pbc="T T T"
O 0.0000 0.0000 0.0000
Si 1.2349 -0.0315 1.7479
Si -0.2557 2.1137 0.2187
Bi -0.8622 1.7255 3.2610
Cu -1.8413 -0.3567 1.2945

---

No. 2
5
Lattice="5.4777 0.0000 0.0000 0.0000 3.5531 0.0000 0.0000 0.0000 5.4777" Properties=species:S:1:pos:R:3 comment="CuSiBi2O (PBE, relaxed)" total_energy_ev_per_atom=-4.233 raw_formation_energy_ev_per_atom=0.215 pbc="T T T"
O 0.0000 1.7765 0.0000
Si 2.7388 1.7765 2.7388
Bi 0.0000 0.0000 2.7388
Bi 2.7388 0.0000 0.0000
Cu 0.0000 0.0000 0.0000

---

No. 3
10
Lattice="-4.5703 -1.7912 2.4781 2.8148 -0.6112 4.7496 0.0490 5.7560 -2.5365" Properties=species:S:1:pos:R:3 comment="Sm2CuBiO6 (PBE, relaxed)" total_energy_ev_per_atom=-6.755 raw_formation_energy_ev_per_atom=-2.038 pbc="T T T"
Sm -0.2411 2.4005 0.4518
Sm -1.4653 0.9531 4.2393
Cu -2.2851 -0.8956 1.2390
Bi 1.4074 -0.3056 2.3748
O 0.4287 1.5483 3.1934
O -0.4005 4.3521 -0.9186
O -2.7930 -0.6756 3.1005
O 1.0865 4.0292 1.5906
O -1.3059 -0.9985 5.6097
O -2.1352 1.8053 1.4977

---

No. 4
15
Lattice="-12.8999 -8.3927 2.8664 -9.3571 -11.0646 5.9229 10.5451 11.3364 -2.3130" Properties=species:S:1:pos:R:3 comment="Sr2SmCu2Bi2O8 (PBE, relaxed)" total_energy_ev_per_atom=-6.013 raw_formation_energy_ev_per_atom=-1.766 pbc="T T T"
Sr -2.5492 -2.2286 1.0067
Sr -19.7078 -17.2288 7.7827
Sm 0.0000 0.0000 0.0000
Cu -9.9427 -8.6920 3.9264
Cu -12.3143 -10.7654 4.8630
O -2.2929 0.4966 0.7172
O -9.4190 -8.6176 5.7591
O -0.5215 -0.8393 2.2455
O -11.1904 -7.2817 4.2309
O -4.4779 -3.9147 1.7684
O -17.7791 -15.5427 7.0210
O -8.1362 -7.1128 3.2130
O -14.1208 -12.3446 5.5764
Bi -6.6045 -5.7737 2.6081
Bi -15.6525 -13.6836 6.1812

---

No. 5
11
Lattice="-0.5902 5.8088 -1.6459 -5.2856 2.0077 -2.1980 -3.5014 3.8122 3.5309" Properties=species:S:1:pos:R:3 comment="Cu2SnBi2O6 (PBE, relaxed)" total_energy_ev_per_atom=-5.403 raw_formation_energy_ev_per_atom=-0.884 pbc="T T T"
Cu -5.0693 6.1121 1.0310
Cu -4.3079 5.5166 -1.3440
Sn 0.0000 0.0000 0.0000
Bi -6.7807 8.5243 -1.0213
Bi -2.5964 3.1044 0.7083
O -5.4385 7.0013 -1.9501
O -5.1085 3.7529 -1.0297
O -2.4828 5.8785 -0.7210
O -6.8944 5.7502 0.4080
O -4.2687 7.8758 0.7167
O -3.9386 4.6274 1.6372

---

No. 6
16
Lattice="5.7947 -0.2687 -0.1049 -1.9485 5.4639 -0.1049 -1.7079 -2.3069 7.0425" Properties=species:S:1:pos:R:3 comment="CuSnBiO5 (PBE, relaxed)" total_energy_ev_per_atom=-5.579 raw_formation_energy_ev_per_atom=-0.982 pbc="T T T"
Cu 2.7833 1.0679 1.6557
Cu -0.6450 1.8204 5.1769
Sn -0.8539 -1.1535 3.5212
Sn 0.0000 0.0000 0.0000
Bi 0.1040 3.0516 1.6557
Bi 2.0344 -0.1632 5.1769
O -1.7823 4.4480 1.6557
O 3.9206 -1.5597 5.1769
O 4.3095 1.1277 0.4829
O -2.1711 1.7607 6.3497
O 3.1717 -0.4091 2.8285
O -1.0334 3.2975 4.0041
O 2.0046 2.2472 2.8693
O 0.1337 0.6411 3.9633
O 1.4281 1.4685 0.4420
O 0.7102 1.4198 6.3906